Density functional theory data (GGA-PBE) for an optimized crystal structure of CeTh3TlTc.

Calculated values
The calculation puts the raw total energy at -6.91 eV/atom. Its energy relative to the elements is -0.5 eV/f.u. The calculation puts the total magnetization at 0.0 μB/cell.

Cell: 7.731 4.628 9.798 Å, 90.00 110.59 90.00°
Space group P2_1/m (No. 11)
One atom of each set of equivalent atoms:
Ce 0.092 0.250 0.099 [2 per cell]
Th 0.116 0.250 0.429 [2 per cell]
Th 0.375 0.750 0.051 [2 per cell]
Th 0.444 0.750 0.636 [2 per cell]
Tl 0.165 0.250 0.783 [2 per cell]
Tc 0.280 0.750 0.310 [2 per cell]